1.
Here is Tb5CdRh2 after structural relaxation from Alexandria via LeMat-Bulk. Energies are from PBE.

Results
The calculation puts the total energy at -5.4153 eV/atom. The formation energy from the elements is -569 meV per atom.

abc: 7.8110 7.8110 8.7142
angles: 116.63 116.63 90.00
Fractional coordinates of all 16 atoms:
Tb: 0.7049 0.2049 0.7302
Tb: 0.5253 0.7049 0.7302
Tb: 0.9747 0.4747 0.2698
Tb: 0.2951 0.7951 0.2698
Tb: 0.2049 0.0253 0.7302
Tb: 0.5000 0.5000 0.0000
Tb: 0.7951 0.9747 0.2698
Tb: 0.4747 0.2951 0.2698
Tb: 0.0000 0.0000 0.0000
Tb: 0.0253 0.5253 0.7302
Cd: 0.2500 0.2500 0.5000
Cd: 0.7500 0.7500 0.5000
Rh: 0.6397 0.1397 0.0000
Rh: 0.1397 0.3603 0.0000
Rh: 0.8603 0.6397 0.0000
Rh: 0.3603 0.8603 0.0000

***

2.
Here is Pa3Ag12Bi5 after structural relaxation from Alexandria via LeMat-Bulk. Energies are from PBE.

Results
The calculation puts the total energy at -3.4995 eV/atom. The formation energy from the elements is 606 meV per atom.

abc: 14.5764 14.5764 14.5764
angles: 109.47 109.47 109.47
Site moments in Bohr magnetons follow the coordinates.
Fractional coordinates of all 80 atoms:
Ag: 0.2708 0.8549 0.9321  0.01
Ag: 0.8549 0.5840 0.9228  0.01
Ag: 0.7708 0.4321 0.3549  0.01
Ag: 0.8387 0.9160 0.2708  0.01
Ag: 0.3387 0.5679 0.4228  0.01
Ag: 0.4160 0.2708 0.3387  0.01
Ag: 0.6451 0.5772 0.9160  0.01
Ag: 0.3387 0.7708 0.4160  0.01
Ag: 0.9228 0.8387 0.5679  0.01
Ag: 0.6613 0.2292 0.5840  0.01
Ag: 0.0679 0.4228 0.8387  0.01
Ag: 0.9321 0.3549 0.2708  0.01
Ag: 0.8549 0.2708 0.4321  0.01
Ag: 0.9228 0.0840 0.8549  0.01
Ag: 0.9160 0.8387 0.7708  0.01
Ag: 0.4228 0.3549 0.5840  0.01
Ag: 0.3549 0.9321 0.7708  0.01
Ag: 0.7708 0.3387 0.9160  0.01
Ag: 0.5772 0.9321 0.6613  0.01
Ag: 0.7292 0.5840 0.1613  0.01
Ag: 0.1451 0.4160 0.0772  0.01
Ag: 0.4228 0.0679 0.3387  0.01
Ag: 0.0840 0.9228 0.3549  0.01
Ag: 0.8387 0.9228 0.0679  0.01
Ag: 0.4321 0.7708 0.8549  0.01
Ag: 0.0679 0.6451 0.7292  0.01
Ag: 0.3549 0.4228 0.0840  0.01
Ag: 0.7292 0.1451 0.0679  0.01
Ag: 0.5679 0.2292 0.1451  0.01
Ag: 0.2292 0.5679 0.6451  0.01
Ag: 0.6613 0.4321 0.5772  0.01
Ag: 0.4160 0.1451 0.5772  0.01
Ag: 0.0772 0.9160 0.1451  0.01
Ag: 0.5840 0.8549 0.4228  0.01
Ag: 0.9321 0.5772 0.1613  0.01
Ag: 0.5840 0.7292 0.6613  0.01
Ag: 0.5772 0.6451 0.4160  0.01
Ag: 0.6451 0.0679 0.2292  0.01
Ag: 0.5679 0.3387 0.9228  0.01
Ag: 0.1613 0.0772 0.9321  0.01
Ag: 0.1613 0.0840 0.7292  0.01
Ag: 0.1451 0.7292 0.5679  0.01
Ag: 0.0840 0.1613 0.2292  0.01
Ag: 0.4321 0.6613 0.0772  0.01
Ag: 0.9160 0.0772 0.6451  0.01
Ag: 0.2292 0.6613 0.0840  0.01
Ag: 0.2708 0.4160 0.8387  0.01
Ag: 0.0772 0.1613 0.4321  0.01
Bi: 0.8750 0.2500 0.6250  -0.01
Bi: 0.2500 0.8750 0.1250  -0.01
Bi: 0.6250 0.7500 0.8750  -0.01
Bi: 0.7500 0.1250 0.8750  -0.01
Bi: 0.0000 0.5000 0.0000  -0.02
Bi: 0.5000 0.5000 0.5000  -0.02
Bi: 0.2500 0.3750 0.6250  -0.01
Bi: 0.1250 0.7500 0.3750  -0.01
Bi: 0.0000 0.0000 0.0000  -0.02
Bi: 0.1250 0.3750 0.2500  -0.01
Bi: 0.0000 0.0000 0.5000  -0.02
Bi: 0.3750 0.1250 0.7500  -0.01
Bi: 0.5000 0.0000 0.0000  -0.02
Bi: 0.3750 0.2500 0.1250  -0.01
Bi: 0.8750 0.6250 0.7500  -0.01
Bi: 0.0000 0.5000 0.5000  -0.02
Bi: 0.5000 0.5000 0.0000  -0.02
Bi: 0.5000 0.0000 0.5000  -0.02
Bi: 0.6250 0.8750 0.2500  -0.01
Bi: 0.7500 0.6250 0.3750  -0.01
Pa: 0.1250 0.8750 0.7500  1.20
Pa: 0.3750 0.6250 0.2500  1.20
Pa: 0.7500 0.3750 0.1250  1.20
Pa: 0.7500 0.8750 0.6250  1.20
Pa: 0.1250 0.2500 0.8750  1.20
Pa: 0.2500 0.6250 0.8750  1.20
Pa: 0.6250 0.3750 0.7500  1.20
Pa: 0.3750 0.7500 0.6250  1.20
Pa: 0.8750 0.1250 0.2500  1.20
Pa: 0.2500 0.1250 0.3750  1.20
Pa: 0.8750 0.7500 0.1250  1.20
Pa: 0.6250 0.2500 0.3750  1.20

***

3.
Here is Sc2TePt2 after structural relaxation from Alexandria via LeMat-Bulk. Energies are from PBE.

Results
The value obtained for the energy above the most stable polymorph in this dataset is 0.125 eV/atom. The calculation puts the total energy at -6.4983 eV/atom.

abc: 4.5724 4.5724 6.2527
angles: 68.55 68.55 90.00
Fractional coordinates of all 5 atoms:
Te: 0.0000 0.0000 0.0000
Pt: 0.6236 0.6236 0.7527
Pt: 0.3764 0.3764 0.2473
Sc: 0.7500 0.2500 0.5000
Sc: 0.2500 0.7500 0.5000

***

4.
Here is Eu2TmPb after structural relaxation from Alexandria via LeMat-Bulk. Energies are from PBE.

Results
The value obtained for the energy above the most stable polymorph in this dataset is 0.346 eV/atom. The calculation puts the total energy at -7.1071 eV/atom. The formation energy from the elements is 75 meV per atom.

abc: 3.6376 3.6376 12.7688
angles: 81.81 81.81 60.00
Site moments in Bohr magnetons follow the coordinates.
Fractional coordinates of all 4 atoms:
Tm: 0.5000 0.5000 0.5000  0.18
Pb: 0.0000 0.0000 0.0000  -0.01
Eu: 0.9120 0.9120 0.2640  7.01
Eu: 0.0880 0.0880 0.7360  7.01